# 1
{
  "formula": "CsLuSO",
  "functional": "PBE-GGA",
  "state": "relaxed",
  "lattice_angstrom": [[-4.320, -5.705, -3.980], [5.005, -0.231, -5.101], [3.838, -3.561, 3.927]],
  "species": ["Cs", "Cs", "Cs", "Cs", "Lu", "Lu", "Lu", "Lu", "O", "O", "O", "O", "S", "S", "S", "S"],
  "fractional_positions": [[0.915, 0.265, 0.001], [0.085, 0.765, 0.499], [0.915, 0.235, 0.501], [0.085, 0.735, 0.999], [0.518, 0.627, 0.222], [0.482, 0.127, 0.278], [0.518, 0.873, 0.722], [0.482, 0.373, 0.778], [0.594, 0.355, 0.119], [0.406, 0.855, 0.381], [0.594, 0.145, 0.619], [0.406, 0.645, 0.881], [0.721, 0.900, 0.136], [0.279, 0.400, 0.364], [0.721, 0.600, 0.636], [0.279, 0.100, 0.864]],
  "m_tot_mub_per_cell": 0.0,
  "relative_energy_ev_per_atom": 0.000,
  "sg": "P2_1/c",
  "e_tot_ha_per_atom": -0.2151
}


# 2
{
  "formula": "AgW3N5",
  "functional": "PBE-GGA",
  "state": "relaxed",
  "lattice_angstrom": [[-0.755, 5.264, 0.139], [-1.368, -2.995, 4.179], [4.730, 0.625, 1.997]],
  "species": ["Ag", "N", "N", "N", "N", "N", "W", "W", "W"],
  "fractional_positions": [[0.000, 0.000, 0.000], [0.667, 0.333, 0.240], [0.333, 0.667, 0.240], [0.000, 0.000, 0.500], [0.667, 0.333, 0.760], [0.333, 0.667, 0.760], [0.500, 0.000, 0.500], [0.000, 0.500, 0.500], [0.500, 0.500, 0.500]],
  "m_tot_mub_per_cell": 0.0,
  "sg": "P6/mmm",
  "e_tot_ha_per_atom": -0.3064
}


# 3
{
  "formula": "PPdPbO",
  "functional": "PBE-GGA",
  "state": "relaxed",
  "lattice_angstrom": [[-2.009, -2.944, 0.120], [5.548, -3.850, -1.581], [1.361, -0.669, 6.406]],
  "species": ["O", "O", "P", "P", "Pb", "Pb", "Pd", "Pd"],
  "fractional_positions": [[0.000, 0.356, 0.387], [0.000, 0.644, 0.887], [0.500, 0.790, 0.374], [0.500, 0.210, 0.874], [0.500, 0.176, 0.463], [0.500, 0.824, 0.963], [0.000, 0.336, 0.030], [0.000, 0.664, 0.530]],
  "relative_energy_ev_per_atom": 0.377,
  "sg": "Pmc2_1",
  "e_tot_ha_per_atom": -0.1849
}


# 4
{
  "formula": "SrMgNp",
  "functional": "PBE-GGA",
  "state": "relaxed",
  "lattice_angstrom": [[3.095, -4.626, -0.078], [2.851, -1.518, 4.533], [-1.590, -4.462, 2.923]],
  "species": ["Mg", "Np", "Sr"],
  "fractional_positions": [[0.000, 0.000, 0.000], [0.250, 0.250, 0.250], [0.750, 0.750, 0.750]],
  "m_tot_mub_per_cell": 6.2,
  "sg": "F-43m",
  "e_tot_ha_per_atom": -0.1587
}


# 5
{
  "formula": "Y6Er2Te",
  "functional": "PBE-GGA",
  "state": "relaxed",
  "lattice_angstrom": [[-5.124, -7.356, 2.108], [8.892, 0.254, 2.383], [-0.935, 1.601, 3.317]],
  "species": ["Er", "Er", "Te", "Y", "Y", "Y", "Y", "Y", "Y"],
  "fractional_positions": [[0.667, 0.333, 0.500], [0.333, 0.667, 0.500], [0.000, 0.000, 0.000], [0.616, 0.000, 0.000], [0.384, 0.384, 0.000], [0.000, 0.616, 0.000], [0.273, 0.000, 0.500], [0.000, 0.273, 0.500], [0.727, 0.727, 0.500]],
  "m_tot_mub_per_cell": 0.2,
  "sg": "P-62m",
  "e_tot_ha_per_atom": -0.2196
}


# 6
{
  "formula": "SmCo9Si4",
  "functional": "PBE-GGA",
  "state": "relaxed",
  "lattice_angstrom": [[0.000, -7.702, 0.000], [-7.702, 0.000, 0.000], [3.851, 3.851, -5.699]],
  "species": ["Co", "Co", "Co", "Co", "Co", "Co", "Co", "Co", "Co", "Co", "Co", "Co", "Co", "Co", "Co", "Co", "Co", "Co", "Si", "Si", "Si", "Si", "Si", "Si", "Si", "Si", "Sm", "Sm"],
  "fractional_positions": [[0.500, 0.000, 0.000], [0.801, 0.070, 0.000], [0.070, 0.199, 0.000], [0.570, 0.301, 0.000], [0.301, 0.430, 0.000], [0.000, 0.500, 0.000], [0.699, 0.570, 0.000], [0.430, 0.699, 0.000], [0.930, 0.801, 0.000], [0.199, 0.930, 0.000], [0.550, 0.050, 0.360], [0.810, 0.310, 0.360], [0.310, 0.550, 0.360], [0.050, 0.810, 0.360], [0.950, 0.190, 0.640], [0.690, 0.450, 0.640], [0.190, 0.690, 0.640], [0.450, 0.950, 0.640], [0.452, 0.291, 0.243], [0.952, 0.452, 0.243], [0.291, 0.791, 0.243], [0.791, 0.952, 0.243], [0.209, 0.048, 0.757], [0.709, 0.209, 0.757], [0.048, 0.548, 0.757], [0.548, 0.709, 0.757], [0.250, 0.250, 0.500], [0.750, 0.750, 0.500]],
  "m_tot_mub_per_cell": 0.5,
  "sg": "I4/mcm",
  "e_tot_ha_per_atom": -0.2546
}